Below is a geometry-optimized YMnRu2 structure, with properties calculated at the PBE level.

Values from the calculation:
Symmetry: I-42d, No. 122
E in eV per formula unit: -32.94
Magnetic moment in μB per formula unit: 1.477

Cell: 7.129 7.129 5.762 Å, 51.78 51.78 90.00°
Each line ends with the local moment (μB).
Atoms (fractional coordinates):
Y: 0.000 0.000 0.000  0.02
Y: 0.750 0.250 0.500  0.02
Ru: 0.875 0.807 0.750  0.07
Ru: 0.375 0.443 0.750  0.05
Ru: 0.193 0.625 0.250  0.06
Ru: 0.557 0.125 0.250  0.04
Mn: 0.250 0.750 0.500  1.27
Mn: 0.500 0.500 0.000  1.27